Density functional theory data (PBE) for an optimized crystal structure of ZrGePb.

It has space group P4/nmm (No. 129, origin choice 2), with a = 3.865 Å, b = 3.865 Å, c = 9.180 Å, α = 90.00°, β = 90.00° and γ = 90.00°. Symmetry generates all atoms from Zr at (0.250, 0.250, 0.228), Ge at (0.250, 0.750, 0.000) and Pb at (0.250, 0.250, 0.601).



Density functional theory data (PBE) for an optimized crystal structure of ZrGe3Pb.

The value obtained for the energy above the most stable polymorph in this dataset is 4.53 eV/f.u.

It has space group Pm-3m (No. 221), with a = 5.263 Å, b = 5.263 Å, c = 5.263 Å, α = 90.00°, β = 90.00° and γ = 90.00°. Symmetry generates all atoms from Zr at (0.000, 0.000, 0.000), Ge at (0.000, 0.500, 0.500) and Pb at (0.500, 0.500, 0.500).



Density functional theory data (PBE) for an optimized crystal structure of ZrGePb3.

The value obtained for the energy above the most stable polymorph in this dataset is 0.95 eV/f.u.

It has space group Pm-3m (No. 221), with a = 5.437 Å, b = 5.437 Å, c = 5.437 Å, α = 90.00°, β = 90.00° and γ = 90.00°. Symmetry generates all atoms from Zr at (0.000, 0.000, 0.000), Ge at (0.500, 0.500, 0.500) and Pb at (0.000, 0.500, 0.500).



What did we get for calculated formation energy? Answer: -0.21; 1.25; 0.84 eV per atom, in the order shown.